Entry 1:
Compound: Be2GaPd2
Source: Alexandria
Functional: SCAN
Structure: PBEsol geometry

```
Be2GaPd2
1.0
2.874 0.000 0.000
0.000 6.396 0.000
0.000 0.000 6.396
Pd Be Ga
4 4 2
direct
0.500 0.169 0.669 Pd
0.500 0.831 0.331 Pd
0.500 0.331 0.169 Pd
0.500 0.669 0.831 Pd
0.000 0.877 0.623 Be
0.000 0.377 0.877 Be
0.000 0.623 0.123 Be
0.000 0.123 0.377 Be
0.000 0.000 0.000 Ga
0.000 0.500 0.500 Ga
```

Values from the calculation:
Volume   11.76 Å³ per atom
Symmetry   No. 127
N(E_F)   3.14 states/eV/cell

=====

Entry 2:
Compound: BeGaPt2Rh
Source: Alexandria
Functional: SCAN
Structure: PBEsol geometry

```
BeGaPt2Rh
1.0
-0.267 4.476 -0.041
-4.787 -0.284 0.225
0.222 0.057 4.795
Pt Be Ga Rh
2 1 1 1
direct
0.000 0.000 0.500 Pt
0.000 0.500 0.000 Pt
0.500 0.500 0.500 Be
0.500 0.000 0.000 Ga
0.000 0.000 0.000 Rh
```

Values from the calculation:
Volume   20.67 Å³ per atom
Symmetry   No. 123
N(E_F)   3.81 states/eV/cell

=====

Entry 3:
Compound: BeGa3Re
Source: Alexandria
Functional: SCAN
Structure: PBEsol geometry

```
BeGa3Re
1.0
-0.402 4.101 -2.412
-0.599 -2.445 -4.057
-4.720 -0.039 0.720
Re Ga Be
1 3 1
direct
0.000 0.000 0.000 Re
0.000 0.500 0.000 Ga
0.500 0.000 0.000 Ga
0.000 0.000 0.500 Ga
0.500 0.500 0.500 Be
```

Values from the calculation:
Volume   21.77 Å³ per atom
Symmetry   No. 221
N(E_F)   2.72 states/eV/cell

=====

Entry 4:
Compound: BeGaRe3
Source: Alexandria
Functional: SCAN
Structure: PBEsol geometry

```
BeGaRe3
1.0
-0.257 -3.723 1.746
1.434 -1.721 -3.458
3.854 0.392 1.403
Re Ga Be
3 1 1
direct
0.500 0.000 0.000 Re
0.000 0.000 0.500 Re
0.000 0.500 0.000 Re
0.500 0.500 0.500 Ga
0.000 0.000 0.000 Be
```

Values from the calculation:
Volume   13.99 Å³ per atom
Symmetry   No. 221
N(E_F)   3.77 states/eV/cell

=====

no.,formation energy from the elements (eV per formula unit)
1,-2.69
2,6.08
3,4.03
4,4.31